The following is a DFT calculation (GGA-PBEsol) of a geometry-optimized K2CrCu structure.

Its calculated total energy is -3.34 eV per atom. For the polymorph energy (0 for the lowest one), the calculation gives 0 meV/atom.

Cell and atoms, written as POSCAR:
```
K2CrCu
1.0
-2.1326 2.8633 5.2042
2.1326 -2.8633 5.2042
2.1326 2.8633 -5.2042
K Cr Cu
2 1 1
Direct
0.0000 0.0000 0.0000
0.6949 0.1949 0.5000
0.2985 0.7985 0.5000
0.4169 0.4169 0.0000
```